1.
The following is a DFT calculation (PBE) of a relaxed ZrBiNO crystal.

The structure in CIF format:
```
data_ZrBiNO
_chemical_formula_sum 'Zr2 Bi2 N2 O2'
_cell_length_a 4.259
_cell_length_b 4.259
_cell_length_c 8.333
_cell_angle_alpha 90.00
_cell_angle_beta 90.00
_cell_angle_gamma 90.00
_space_group_name_H-M_alt 'P 4/n m m'
_space_group_IT_number 129
loop_
_space_group_symop_operation_xyz
'x,y,z'
'-x,-y,-z'
'-y+1/2,x,z'
'y+1/2,-x,-z'
'-x+1/2,-y+1/2,z'
'x+1/2,y+1/2,-z'
'y,-x+1/2,z'
'-y,x+1/2,-z'
'x+1/2,-y,-z'
'-x+1/2,y,z'
'-y,-x,-z'
'y,x,z'
'-x,y+1/2,-z'
'x,-y+1/2,z'
'y+1/2,x+1/2,-z'
'-y+1/2,-x+1/2,z'
loop_
_atom_site_label
_atom_site_type_symbol
_atom_site_fract_x
_atom_site_fract_y
_atom_site_fract_z
Zr1 Zr 0.250 0.750 0.000
Bi1 Bi 0.250 0.250 0.371
N1 N 0.250 0.250 0.942
O1 O 0.250 0.750 0.500
```

Values from the calculation:
Crystal system = tetragonal
Energy above the most stable polymorph in this dataset = 515 meV/atom



2.
The following is a DFT calculation (PBE) of a relaxed ZrBiNO crystal.

The structure in CIF format:
```
data_ZrBiNO
_chemical_formula_sum 'Zr2 Bi2 N2 O2'
_cell_length_a 3.469
_cell_length_b 7.936
_cell_length_c 6.134
_cell_angle_alpha 90.00
_cell_angle_beta 90.00
_cell_angle_gamma 90.00
_space_group_name_H-M_alt 'P m c 21'
_space_group_IT_number 26
loop_
_space_group_symop_operation_xyz
'x,y,z'
'-x,-y,z+1/2'
'-x,y,z'
'x,-y,z+1/2'
loop_
_atom_site_label
_atom_site_type_symbol
_atom_site_fract_x
_atom_site_fract_y
_atom_site_fract_z
Zr1 Zr 0.000 0.132 0.000
Bi1 Bi 0.500 0.463 0.522
N1 N 0.500 0.260 0.924
O1 O 0.000 0.075 0.319
```

Values from the calculation:
Crystal system = orthorhombic
Energy above the most stable polymorph in this dataset = 0 meV/atom



3.
The following is a DFT calculation (PBE) of a relaxed ZrBiNO crystal.

The structure in CIF format:
```
data_ZrBiNO
_chemical_formula_sum 'Zr2 Bi2 N2 O2'
_cell_length_a 4.248
_cell_length_b 4.248
_cell_length_c 8.862
_cell_angle_alpha 90.00
_cell_angle_beta 90.00
_cell_angle_gamma 90.00
_space_group_name_H-M_alt 'P 4/n m m'
_space_group_IT_number 129
loop_
_space_group_symop_operation_xyz
'x,y,z'
'-x,-y,-z'
'-y+1/2,x,z'
'y+1/2,-x,-z'
'-x+1/2,-y+1/2,z'
'x+1/2,y+1/2,-z'
'y,-x+1/2,z'
'-y,x+1/2,-z'
'x+1/2,-y,-z'
'-x+1/2,y,z'
'-y,-x,-z'
'y,x,z'
'-x,y+1/2,-z'
'x,-y+1/2,z'
'y+1/2,x+1/2,-z'
'-y+1/2,-x+1/2,z'
loop_
_atom_site_label
_atom_site_type_symbol
_atom_site_fract_x
_atom_site_fract_y
_atom_site_fract_z
Zr1 Zr 0.250 0.250 0.079
Bi1 Bi 0.250 0.750 0.500
N1 N 0.250 0.250 0.292
O1 O 0.250 0.750 0.000
```

Values from the calculation:
Crystal system = tetragonal
Energy above the most stable polymorph in this dataset = 382 meV/atom



4.
The following is a DFT calculation (PBE) of a relaxed ZrBiNO crystal.

The structure in CIF format:
```
data_ZrBiNO
_chemical_formula_sum 'Zr2 Bi2 N2 O2'
_cell_length_a 4.370
_cell_length_b 4.370
_cell_length_c 7.777
_cell_angle_alpha 90.00
_cell_angle_beta 90.00
_cell_angle_gamma 90.00
_space_group_name_H-M_alt 'P 4/n m m'
_space_group_IT_number 129
loop_
_space_group_symop_operation_xyz
'x,y,z'
'-x,-y,-z'
'-y+1/2,x,z'
'y+1/2,-x,-z'
'-x+1/2,-y+1/2,z'
'x+1/2,y+1/2,-z'
'y,-x+1/2,z'
'-y,x+1/2,-z'
'x+1/2,-y,-z'
'-x+1/2,y,z'
'-y,-x,-z'
'y,x,z'
'-x,y+1/2,-z'
'x,-y+1/2,z'
'y+1/2,x+1/2,-z'
'-y+1/2,-x+1/2,z'
loop_
_atom_site_label
_atom_site_type_symbol
_atom_site_fract_x
_atom_site_fract_y
_atom_site_fract_z
Zr1 Zr 0.250 0.250 0.050
Bi1 Bi 0.250 0.750 0.500
N1 N 0.250 0.250 0.296
O1 O 0.250 0.750 0.000
```

Values from the calculation:
Crystal system = tetragonal
Energy above the most stable polymorph in this dataset = 430 meV/atom



Question: Among the records above, which one has the highest energy above the most stable polymorph in this dataset?
Answer: number 1



Question: Among the records above, which one has the lowest energy above the most stable polymorph in this dataset?
Answer: number 2



Copy entry 3 word for word.
The following is a DFT calculation (PBE) of a relaxed ZrBiNO crystal.

The structure in CIF format:
```
data_ZrBiNO
_chemical_formula_sum 'Zr2 Bi2 N2 O2'
_cell_length_a 4.248
_cell_length_b 4.248
_cell_length_c 8.862
_cell_angle_alpha 90.00
_cell_angle_beta 90.00
_cell_angle_gamma 90.00
_space_group_name_H-M_alt 'P 4/n m m'
_space_group_IT_number 129
loop_
_space_group_symop_operation_xyz
'x,y,z'
'-x,-y,-z'
'-y+1/2,x,z'
'y+1/2,-x,-z'
'-x+1/2,-y+1/2,z'
'x+1/2,y+1/2,-z'
'y,-x+1/2,z'
'-y,x+1/2,-z'
'x+1/2,-y,-z'
'-x+1/2,y,z'
'-y,-x,-z'
'y,x,z'
'-x,y+1/2,-z'
'x,-y+1/2,z'
'y+1/2,x+1/2,-z'
'-y+1/2,-x+1/2,z'
loop_
_atom_site_label
_atom_site_type_symbol
_atom_site_fract_x
_atom_site_fract_y
_atom_site_fract_z
Zr1 Zr 0.250 0.250 0.079
Bi1 Bi 0.250 0.750 0.500
N1 N 0.250 0.250 0.292
O1 O 0.250 0.750 0.000
```

Values from the calculation:
Crystal system = tetragonal
Energy above the most stable polymorph in this dataset = 382 meV/atom



Question: What is the energy above the most stable polymorph in this dataset in the fourth record?
Answer: 430 meV/atom